1.
VASP calculation (PBE) on a geometry-optimized Ac2NdPb structure.

Summary:
magnetic moment	0.0	μB per formula unit
energy above the lowest structure with this stoichiometry	0	meV/atom
uncorrected energy	-17.76	eV/f.u.
formation energy	-0.266	eV per atom

a = 5.271 Å, b = 5.271 Å, c = 5.195 Å
α = 90.00°, β = 90.00°, γ = 90.00°
Space group P4/mmm (No. 123)
Inequivalent atoms, fractional coordinates:
Ac (0.000, 0.500, 0.000) x2
Nd (0.000, 0.000, 0.500) x1
Pb (0.500, 0.500, 0.500) x1

***

2.
VASP calculation (PBE) on a geometry-optimized AcNd2Pb structure.

Summary:
magnetic moment	0.0	μB per formula unit
energy above the lowest structure with this stoichiometry	166	meV/atom
uncorrected energy	-17.86	eV/f.u.
formation energy	-0.128	eV per atom

a = 8.113 Å, b = 8.113 Å, c = 8.113 Å
α = 90.00°, β = 90.00°, γ = 90.00°
Space group Fm-3m (No. 225)
Inequivalent atoms, fractional coordinates:
Ac (0.000, 0.000, 0.000) x4
Nd (0.250, 0.250, 0.250) x8
Pb (0.000, 0.000, 0.500) x4

***

3.
VASP calculation (PBE) on a geometry-optimized Ac3NdPb5 structure.

Summary:
magnetic moment	0.0	μB per formula unit
uncorrected energy	-39.98	eV/f.u.
formation energy	-0.483	eV per atom

a = 10.1452 Å, b = 10.1452 Å, c = 6.9551 Å
α = 90.00°, β = 90.00°, γ = 120.00°
Space group P6_3/mcm (No. 193)
Inequivalent atoms, fractional coordinates:
Ac (0.0000, 0.3811, 0.2500) x6
Nd (0.0000, 0.0000, 0.0000) x2
Pb (0.0000, 0.2822, 0.7500) x6
Pb (0.3333, 0.6667, 0.0000) x4

***

4.
VASP calculation (PBE) on a geometry-optimized Ac4NdPb2 structure.

Summary:
magnetic moment	0.0	μB per formula unit
uncorrected energy	-30.23	eV/f.u.
formation energy	-0.230	eV per atom

a = 6.629 Å, b = 8.530 Å, c = 9.983 Å
α = 94.59°, β = 95.16°, γ = 99.24°
Space group P1 (No. 1)
Inequivalent atoms, fractional coordinates:
Ac (0.000, 0.000, 0.000) x1
Ac (0.010, 0.719, 0.652) x1
Ac (0.094, 0.236, 0.663) x1
Ac (0.140, 0.344, 0.323) x1
Ac (0.290, 0.868, 0.319) x1
Ac (0.565, 0.005, 0.706) x1
Ac (0.615, 0.474, 0.832) x1
Ac (0.690, 0.603, 0.231) x1
Nd (0.138, 0.473, 0.997) x1
Nd (0.561, 0.185, 0.112) x1
Pb (0.434, 0.811, 0.980) x1
Pb (0.455, 0.624, 0.547) x1
Pb (0.632, 0.297, 0.468) x1
Pb (0.831, 0.983, 0.377) x1

***

> Which value of magnetic moment does entry 1 give?

0.0 μB per formula unit

***

Copy entry 2 word for word.
VASP calculation (PBE) on a geometry-optimized AcNd2Pb structure.

Summary:
magnetic moment	0.0	μB per formula unit
energy above the lowest structure with this stoichiometry	166	meV/atom
uncorrected energy	-17.86	eV/f.u.
formation energy	-0.128	eV per atom

a = 8.113 Å, b = 8.113 Å, c = 8.113 Å
α = 90.00°, β = 90.00°, γ = 90.00°
Space group Fm-3m (No. 225)
Inequivalent atoms, fractional coordinates:
Ac (0.000, 0.000, 0.000) x4
Nd (0.250, 0.250, 0.250) x8
Pb (0.000, 0.000, 0.500) x4

***

> What is the magnetic moment in the third record?

0.0 μB per formula unit